P:
Below is a geometry-optimized KY2H structure, with properties calculated at the PBE level.

Computed properties:
Its magnetization is 0.00 Bohr magnetons per cell. As for the space-group type: No. 225. As for the crystal system: cubic.

abc: 5.504 5.504 5.504
angles: 60.00 60.00 60.00
Fractional coordinates of all 4 atoms:
1 Y 0.750 0.750 0.750
2 Y 0.250 0.250 0.250
3 K 0.500 0.500 0.500
4 H 0.000 0.000 0.000

Q:
Below is a geometry-optimized KY2H structure, with properties calculated at the PBE level.

Computed properties:
Its magnetization is 0.00 Bohr magnetons per cell. As for the space-group type: No. 122. As for the crystal system: tetragonal.

abc: 7.184 7.184 7.180
angles: 59.98 59.98 90.00
Fractional coordinates of all 8 atoms:
1 Y 0.375 0.622 0.750
2 H 0.500 0.500 0.000
3 Y 0.372 0.625 0.250
4 Y 0.378 0.125 0.250
5 K 0.000 0.000 0.000
6 H 0.250 0.750 0.500
7 K 0.750 0.250 0.500
8 Y 0.875 0.628 0.750

What should be chosen as the least stable of them? Choose P.

P:
Below is a geometry-optimized K2YH structure, with properties calculated at the PBE level.

Computed properties:
Its magnetization is 1.89 Bohr magnetons per cell. As for the space-group type: No. 225. As for the crystal system: cubic.

abc: 6.305 6.305 6.305
angles: 60.00 60.00 60.00
Fractional coordinates of all 4 atoms:
1 Y 0.500 0.500 0.500
2 K 0.750 0.750 0.750
3 K 0.250 0.250 0.250
4 H 0.000 0.000 0.000

Q:
Below is a geometry-optimized K2YH structure, with properties calculated at the PBE level.

Computed properties:
Its magnetization is 4.11 Bohr magnetons per cell. As for the space-group type: No. 122. As for the crystal system: tetragonal.

abc: 7.852 7.852 7.610
angles: 58.94 58.94 90.00
Fractional coordinates of all 8 atoms:
1 K 0.875 0.706 0.750
2 K 0.294 0.625 0.250
3 K 0.375 0.544 0.750
4 H 0.250 0.750 0.500
5 K 0.456 0.125 0.250
6 Y 0.000 0.000 0.000
7 Y 0.750 0.250 0.500
8 H 0.500 0.500 0.000

What should be chosen as the least stable of them? Choose P.

P:
Below is a geometry-optimized K2ZnH structure, with properties calculated at the PBE level.

Computed properties:
Its magnetization is 0.00 Bohr magnetons per cell. As for the space-group type: No. 225. As for the crystal system: cubic.

abc: 5.622 5.622 5.622
angles: 60.00 60.00 60.00
Fractional coordinates of all 4 atoms:
1 K 0.250 0.250 0.250
2 Zn 0.500 0.500 0.500
3 K 0.750 0.750 0.750
4 H 0.000 0.000 0.000

Q:
Below is a geometry-optimized K2ZnH structure, with properties calculated at the PBE level.

Computed properties:
Its magnetization is 0.97 Bohr magnetons per cell. As for the space-group type: No. 122. As for the crystal system: tetragonal.

abc: 8.238 8.238 7.043
angles: 54.21 54.21 90.00
Fractional coordinates of all 8 atoms:
1 H 0.500 0.500 0.000
2 K 0.375 0.467 0.750
3 H 0.250 0.750 0.500
4 K 0.533 0.125 0.250
5 Zn 0.000 0.000 0.000
6 K 0.217 0.625 0.250
7 Zn 0.750 0.250 0.500
8 K 0.875 0.783 0.750

What should be chosen as the least stable of them? Choose P.

P:
Below is a geometry-optimized La2H5 structure, with properties calculated at the PBE level.

Computed properties:
Its magnetization is 0.00 Bohr magnetons per cell. As for the space-group type: No. 72. As for the crystal system: orthorhombic.

abc: 5.049 5.882 6.999
angles: 114.85 111.14 90.00
Fractional coordinates of all 14 atoms:
1 H 0.506 0.256 0.511
2 H 0.750 0.500 0.000
3 H 0.494 0.744 0.489
4 H 0.584 0.919 0.168
5 H 0.916 0.751 0.832
6 La 0.379 0.639 0.758
7 La 0.621 0.361 0.242
8 La 0.121 0.882 0.242
9 H 0.006 0.256 0.511
10 H 0.994 0.744 0.489
11 H 0.416 0.081 0.832
12 H 0.250 0.500 0.000
13 H 0.084 0.249 0.168
14 La 0.879 0.118 0.758

Q:
Below is a geometry-optimized La2H5 structure, with properties calculated at the PBE level.

Computed properties:
Its magnetization is 0.00 Bohr magnetons per cell. As for the space-group type: No. 141. As for the crystal system: tetragonal.

abc: 6.875 6.875 6.875
angles: 132.41 132.41 69.57
Fractional coordinates of all 14 atoms:
1 H 0.606 0.125 0.981
2 H 0.875 0.394 0.019
3 H 0.875 0.856 0.481
4 La 0.754 0.754 0.000
5 H 0.750 0.250 0.500
6 H 0.144 0.125 0.519
7 H 0.144 0.625 0.019
8 H 0.375 0.856 0.981
9 H 0.000 0.000 0.000
10 La 0.996 0.496 0.500
11 La 0.246 0.246 0.000
12 H 0.606 0.625 0.481
13 H 0.375 0.394 0.519
14 La 0.504 0.004 0.500

What should be chosen as the least stable of them? Choose P.

P:
Below is a geometry-optimized LaH3 structure, with properties calculated at the PBE level.

Computed properties:
Its magnetization is 0.00 Bohr magnetons per cell. As for the space-group type: No. 139. As for the crystal system: tetragonal.

abc: 3.871 3.871 3.933
angles: 119.47 119.47 90.00
Fractional coordinates of all 4 atoms:
1 H 0.250 0.750 0.500
2 H 0.500 0.500 0.000
3 La 0.000 0.000 0.000
4 H 0.750 0.250 0.500

Q:
Below is a geometry-optimized LaH3 structure, with properties calculated at the PBE level.

Computed properties:
Its magnetization is 0.00 Bohr magnetons per cell. As for the space-group type: No. 221. As for the crystal system: cubic.

abc: 3.507 3.507 3.507
angles: 90.00 90.00 90.00
Fractional coordinates of all 4 atoms:
1 La 0.000 0.000 0.083
2 H 0.500 0.000 0.583
3 H 0.000 0.500 0.584
4 H 0.500 0.500 0.083

What should be chosen as the least stable of them? Choose Q.

P:
Below is a geometry-optimized Li2LaH structure, with properties calculated at the PBE level.

Computed properties:
Its magnetization is 0.00 Bohr magnetons per cell. As for the space-group type: No. 225. As for the crystal system: cubic.

abc: 4.878 4.878 4.878
angles: 60.00 60.00 60.00
Fractional coordinates of all 4 atoms:
1 Li 0.750 0.750 0.750
2 La 0.500 0.500 0.500
3 Li 0.250 0.250 0.250
4 H 0.000 0.000 0.000

Q:
Below is a geometry-optimized Li2LaH structure, with properties calculated at the PBE level.

Computed properties:
Its magnetization is 2.02 Bohr magnetons per cell. As for the space-group type: No. 227. As for the crystal system: cubic.

abc: 5.985 5.985 5.984
angles: 59.99 59.99 90.00
Fractional coordinates of all 8 atoms:
1 La 0.000 0.000 0.000
2 H 0.500 0.500 0.000
3 La 0.750 0.250 0.500
4 H 0.250 0.750 0.500
5 Li 0.375 0.125 0.250
6 Li 0.375 0.625 0.250
7 Li 0.875 0.625 0.750
8 Li 0.375 0.625 0.750

R:
Below is a geometry-optimized Li2LaH structure, with properties calculated at the PBE level.

Computed properties:
Its magnetization is 0.00 Bohr magnetons per cell. As for the space-group type: No. 166. As for the crystal system: trigonal.

abc: 3.142 3.142 9.223
angles: 80.19 80.19 60.00
Fractional coordinates of all 4 atoms:
1 Li 0.123 0.123 0.631
2 La 0.000 0.000 0.000
3 H 0.500 0.500 0.500
4 Li 0.877 0.877 0.369

What should be chosen as the least stable of them? Choose P.

P:
Below is a geometry-optimized LiLaH2 structure, with properties calculated at the PBE level.

Computed properties:
Its magnetization is 0.00 Bohr magnetons per cell. As for the space-group type: No. 122. As for the crystal system: tetragonal.

abc: 4.628 4.628 6.240
angles: 68.23 68.23 90.00
Fractional coordinates of all 8 atoms:
1 La 0.750 0.250 0.500
2 La 0.000 0.000 0.000
3 H 0.526 0.125 0.250
4 Li 0.500 0.500 0.000
5 H 0.224 0.625 0.250
6 Li 0.250 0.750 0.500
7 H 0.375 0.474 0.750
8 H 0.875 0.776 0.750

Q:
Below is a geometry-optimized LiLaH2 structure, with properties calculated at the PBE level.

Computed properties:
Its magnetization is 0.00 Bohr magnetons per cell. As for the space-group type: No. 166. As for the crystal system: trigonal.

abc: 3.482 3.482 5.761
angles: 72.41 72.41 60.00
Fractional coordinates of all 4 atoms:
1 Li 0.000 0.000 0.000
2 La 0.500 0.500 0.500
3 H 0.736 0.736 0.793
4 H 0.264 0.264 0.207

R:
Below is a geometry-optimized LiLaH2 structure, with properties calculated at the PBE level.

Computed properties:
Its magnetization is 0.00 Bohr magnetons per cell. As for the space-group type: No. 225. As for the crystal system: cubic.

abc: 4.267 4.267 4.267
angles: 60.00 60.00 60.00
Fractional coordinates of all 4 atoms:
1 H 0.250 0.250 0.250
2 Li 0.000 0.000 0.000
3 La 0.500 0.500 0.500
4 H 0.750 0.750 0.750

S:
Below is a geometry-optimized LiLaH2 structure, with properties calculated at the PBE level.

Computed properties:
Its magnetization is 0.00 Bohr magnetons per cell. As for the space-group type: No. 160. As for the crystal system: trigonal.

abc: 3.422 3.422 6.327
angles: 74.31 74.31 60.00
Fractional coordinates of all 4 atoms:
1 H 0.250 0.250 0.251
2 La 0.668 0.668 0.996
3 H 0.091 0.091 0.726
4 Li 0.491 0.491 0.527

What should be chosen as the least stable of them? Choose S.

P:
Below is a geometry-optimized LiLa2MgH structure, with properties calculated at the PBE level.

Computed properties:
Its magnetization is 0.00 Bohr magnetons per cell. As for the space-group type: No. 123. As for the crystal system: tetragonal.

abc: 5.097 5.097 4.587
angles: 90.00 90.00 90.00
Fractional coordinates of all 5 atoms:
1 Mg 0.000 0.000 0.500
2 H 0.000 0.000 0.000
3 La 0.000 0.500 0.000
4 La 0.500 0.000 0.000
5 Li 0.500 0.500 0.500

Q:
Below is a geometry-optimized LiLa2MgH structure, with properties calculated at the PBE level.

Computed properties:
Its magnetization is 0.00 Bohr magnetons per cell. As for the space-group type: No. 123. As for the crystal system: tetragonal.

abc: 5.345 4.136 5.345
angles: 90.00 90.00 90.00
Fractional coordinates of all 5 atoms:
1 Li 0.000 0.500 0.000
2 Mg 0.500 0.500 0.500
3 La 0.500 0.000 0.000
4 H 0.000 0.000 0.000
5 La 0.000 0.000 0.500

What should be chosen as the least stable of them? Choose P.